DFT (PBE) results for a geometry-optimized CdGa2W structure.

theoretical density: 9.63 g/cm3
ΔE_f: 703.0 meV/atom
magnetic moment: 0.000 Bohr magnetons per cell
Fermi-level density of states: 5.643 states/eV/cell

abc: 7.222 7.222 5.759
angles: 90.00 90.00 90.00
Space group I-42d (No. 122)
Asymmetric unit:
Cd: 0.000 0.000 0.000 [4 per cell]
Ga: 0.238 0.250 0.625 [8 per cell]
W: 0.000 0.000 0.500 [4 per cell]